First-principles (PBE-GGA) data for Na2AgSnGe after structural relaxation, as listed in Alexandria via LeMat-Bulk.

Summary:
**Electronic total energy**: -2.507 eV/atom

Lattice parameters (Å, degrees): 5.3216 5.3216 5.1347 90.00 90.00 90.00
Last column: nearest neighbours and their distance in Å.
Atoms (fractional coordinates):
Na1 0.0000 0.5000 0.0000  2 Ag 2.66
Na2 0.5000 0.0000 0.0000  2 Ag 2.66
Ag1 0.0000 0.0000 0.0000  2 Sn 2.57, 4 Na 2.66
Sn1 0.0000 0.0000 0.5000  2 Ag 2.57
Ge1 0.5000 0.5000 0.5000  8 Na 3.70, 4 Sn 3.76

First-principles (PBE-GGA) data for NaTbAgGe after structural relaxation, as listed in Alexandria via LeMat-Bulk.

Summary:
**Electronic total energy**: -3.656 eV/atom

Lattice parameters (Å, degrees): 5.0091 5.0091 5.0091 60.00 60.00 60.00
Last column: nearest neighbours and their distance in Å.
Atoms (fractional coordinates):
Na1 0.0000 0.0000 0.0000  4 Ge 3.07, 4 Ag 3.07
Tb1 0.5000 0.5000 0.5000  4 Ag 3.07, 4 Ge 3.07
Ag1 0.2500 0.2500 0.2500  4 Tb 3.07, 4 Na 3.07
Ge1 0.7500 0.7500 0.7500  4 Tb 3.07, 4 Na 3.07

First-principles (PBE-GGA) data for NaAg2GeTe4 after structural relaxation, as listed in Alexandria via LeMat-Bulk.

Summary:
**Raw formation energy**: -0.118 eV/atom
**Electronic total energy**: -3.144 eV/atom

Lattice parameters (Å, degrees): 8.4403 8.4403 8.4403 119.95 119.85 90.18
Last column: nearest neighbours and their distance in Å.
Atoms (fractional coordinates):
Na1 0.5000 0.0000 0.0000  6 Te 3.08-3.10
Na2 0.5000 0.5000 0.5000  6 Te 3.08-3.10
Ag1 0.0000 0.0000 0.0000  6 Te 2.98-2.99
Ag2 0.0000 0.0000 0.5000  6 Te 2.88
Ag3 0.0000 0.5000 0.0000  6 Te 2.88
Ag4 0.5000 0.0000 0.5000  6 Te 2.98-2.99
Ge1 0.0000 0.5000 0.5000  6 Te 2.99
Ge2 0.5000 0.5000 0.0000  6 Te 2.99
Te1 0.2316 0.2495 0.9821  3 Ag 2.88-2.98, 1 Ge 2.99, 2 Na 3.10
Te2 0.2326 0.7505 0.4821  3 Ag 2.88-2.98, 1 Ge 2.99, 2 Na 3.10
Te3 0.2413 0.2411 0.4997  3 Ag 2.88-2.99, 2 Ge 2.99, 1 Na 3.08
Te4 0.2413 0.7416 0.0003  3 Ag 2.88-2.99, 2 Ge 2.99, 1 Na 3.08
Te5 0.7587 0.2584 0.9997  3 Ag 2.88-2.99, 2 Ge 2.99, 1 Na 3.08
Te6 0.7587 0.7589 0.5003  3 Ag 2.88-2.99, 2 Ge 2.99, 1 Na 3.08
Te7 0.7674 0.2495 0.5179  3 Ag 2.88-2.98, 1 Ge 2.99, 2 Na 3.10
Te8 0.7684 0.7505 0.0179  3 Ag 2.88-2.98, 1 Ge 2.99, 2 Na 3.10

First-principles (PBE-GGA) data for NaYAgGe after structural relaxation, as listed in Alexandria via LeMat-Bulk.

Summary:
**Electronic total energy**: -4.119 eV/atom

Lattice parameters (Å, degrees): 5.0045 5.0045 5.0045 60.00 60.00 60.00
Last column: nearest neighbours and their distance in Å.
Atoms (fractional coordinates):
Na1 0.0000 0.0000 0.0000  4 Ag 3.06, 4 Ge 3.06
Y1 0.5000 0.5000 0.5000  4 Ag 3.06, 4 Ge 3.06
Ag1 0.7500 0.7500 0.7500  4 Y 3.06, 4 Na 3.06
Ge1 0.2500 0.2500 0.2500  4 Na 3.06, 4 Y 3.06

First-principles (PBE-GGA) data for Na2Zn3AgGe4 after structural relaxation, as listed in Alexandria via LeMat-Bulk.

Summary:
**Electronic total energy**: -2.803 eV/atom

Lattice parameters (Å, degrees): 4.1616 4.1616 11.5250 90.00 90.00 90.00
Last column: nearest neighbours and their distance in Å.
Atoms (fractional coordinates):
Na1 0.0000 0.5000 0.2403  4 Ge 3.16, 6 Zn 3.23-3.46, 2 Ag 3.46
Na2 0.5000 0.0000 0.7597  4 Ge 3.16, 6 Zn 3.23-3.46, 2 Ag 3.46
Zn1 0.0000 0.0000 0.0000  4 Ge 2.64, 4 Ag 2.94
Zn2 0.0000 0.5000 0.6447  5 Ge 2.47-2.67
Zn3 0.5000 0.0000 0.3553  5 Ge 2.47-2.67
Ag1 0.5000 0.5000 0.0000  4 Ge 2.64, 4 Zn 2.94
Ge1 0.0000 0.0000 0.5000  4 Zn 2.67, 4 Ge 2.94
Ge2 0.0000 0.5000 0.8589  3 Zn 2.47-2.64, 2 Ag 2.64
Ge3 0.5000 0.0000 0.1411  3 Zn 2.47-2.64, 2 Ag 2.64
Ge4 0.5000 0.5000 0.5000  4 Zn 2.67, 4 Ge 2.94

First-principles (PBE-GGA) data for NaZnAgGe after structural relaxation, as listed in Alexandria via LeMat-Bulk.

Summary:
**Electronic total energy**: -2.493 eV/atom

Lattice parameters (Å, degrees): 4.4406 4.4406 5.3167 114.65 114.65 60.09
Last column: nearest neighbours and their distance in Å.
Atoms (fractional coordinates):
Na1 0.0000 0.0000 0.0000  4 Zn 2.90-3.11, 4 Ag 3.00-3.11, 3 Ge 3.02
Zn1 0.2074 0.2074 0.6230  3 Ge 2.57
Ag1 0.7777 0.7777 0.3333  3 Zn 2.90, 4 Ge 2.98-3.15, 4 Na 3.00-3.11
Ge1 0.5523 0.5523 0.6575  3 Zn 2.57

First-principles (PBE-GGA) data for NaZnAgGe after structural relaxation, as listed in Alexandria via LeMat-Bulk.

Summary:
**Electronic total energy**: -2.453 eV/atom

Lattice parameters (Å, degrees): 4.7188 4.7188 4.7188 60.00 60.00 60.00
Last column: nearest neighbours and their distance in Å.
Atoms (fractional coordinates):
Na1 0.0000 0.0000 0.0000  4 Ag 2.89, 4 Zn 2.89
Zn1 0.2500 0.2500 0.2500  4 Ge 2.89, 4 Na 2.89
Ag1 0.7500 0.7500 0.7500  4 Na 2.89, 4 Ge 2.89
Ge1 0.5000 0.5000 0.5000  4 Zn 2.89, 4 Ag 2.89

First-principles (PBE-GGA) data for Na2Zn4AgGe3 after structural relaxation, as listed in Alexandria via LeMat-Bulk.

Summary:
**Electronic total energy**: -2.495 eV/atom

Lattice parameters (Å, degrees): 4.2381 4.2381 11.0577 90.00 90.00 90.00
Last column: nearest neighbours and their distance in Å.
Atoms (fractional coordinates):
Na1 0.0000 0.5000 0.2458  6 Ge 3.24-3.52, 8 Zn 3.24-3.45, 2 Ag 3.52
Na2 0.5000 0.0000 0.7542  6 Ge 3.24-3.52, 8 Zn 3.24-3.45, 2 Ag 3.52
Zn1 0.0000 0.0000 0.0000  4 Ge 2.60
Zn2 0.0000 0.5000 0.6418  3 Ge 2.46-2.64, 2 Ag 2.64
Zn3 0.5000 0.0000 0.3582  3 Ge 2.46-2.64, 2 Ag 2.64
Zn4 0.5000 0.5000 0.0000  4 Ge 2.60
Ag1 0.0000 0.0000 0.5000  4 Zn 2.64
Ge1 0.0000 0.5000 0.8644  5 Zn 2.46-2.60
Ge2 0.5000 0.0000 0.1356  5 Zn 2.46-2.60
Ge3 0.5000 0.5000 0.5000  4 Zn 2.64

DOS(E_F) across the listed records, respectively: 0.60, 0.48, 0.74, 0.48, 0.29, 0.19, 0.36, 0.21 states/eV/atom.